# KVAsO4, relaxed, DFT PBE+U
# Uncorrected energy in eV per atom: -6.34
# SG: No. 11
# Total magnetic moment in μB per formula unit: 0.00
# Density of states at the Fermi level in states/eV/atom: 0.239
data_KVAsO4
_cell_length_a 5.0418
_cell_length_b 5.7733
_cell_length_c 9.4276
_cell_angle_alpha 90.00
_cell_angle_beta 101.21
_cell_angle_gamma 90.00
_space_group_name_H-M_alt 'P 1'
_space_group_IT_number 1
loop_
_space_group_symop_operation_xyz
'x,y,z'
loop_
_atom_site_label
_atom_site_fract_x
_atom_site_fract_y
_atom_site_fract_z
K1 0.1711 0.2500 0.3844
K2 0.8289 0.7500 0.6156
V1 0.4212 0.2500 0.7526
V2 0.5788 0.7500 0.2474
As1 0.0039 0.7500 0.0168
As2 0.9961 0.2500 0.9832
O1 0.2056 0.7500 0.1986
O2 0.3165 0.2500 0.9280
O3 0.3183 0.0169 0.6510
O4 0.3183 0.4831 0.6510
O5 0.6817 0.5169 0.3490
O6 0.6817 0.9831 0.3490
O7 0.6835 0.7500 0.0720
O8 0.7944 0.2500 0.8014

=====

# KV2As2O7, relaxed, DFT PBE+U
# Uncorrected energy in eV per atom: -6.64
# SG: No. 155
# Total magnetic moment in μB per formula unit: 3.00
# Density of states at the Fermi level in states/eV/atom: 0.459
data_KV2As2O7
_cell_length_a 8.9348
_cell_length_b 8.9348
_cell_length_c 8.9348
_cell_angle_alpha 36.66
_cell_angle_beta 36.66
_cell_angle_gamma 36.66
_space_group_name_H-M_alt 'P 1'
_space_group_IT_number 1
loop_
_space_group_symop_operation_xyz
'x,y,z'
loop_
_atom_site_label
_atom_site_fract_x
_atom_site_fract_y
_atom_site_fract_z
K1 0.0000 0.0000 0.0000
V1 0.4267 0.4267 0.4267
V2 0.5733 0.5733 0.5733
As1 0.2268 0.2268 0.2268
As2 0.7732 0.7732 0.7732
O1 0.0467 0.5068 0.6567
O2 0.3433 0.4932 0.9533
O3 0.4932 0.9533 0.3433
O4 0.5000 0.5000 0.5000
O5 0.5068 0.6567 0.0467
O6 0.6567 0.0467 0.5068
O7 0.9533 0.3433 0.4932

=====

# K3VAs2O8, relaxed, DFT PBE+U
# Uncorrected energy in eV per atom: -5.93
# SG: No. 164
# Total magnetic moment in μB per formula unit: 2.00
data_K3VAs2O8
_cell_length_a 5.6941
_cell_length_b 5.6941
_cell_length_c 7.6536
_cell_angle_alpha 90.00
_cell_angle_beta 90.00
_cell_angle_gamma 120.00
_space_group_name_H-M_alt 'P 1'
_space_group_IT_number 1
loop_
_space_group_symop_operation_xyz
'x,y,z'
loop_
_atom_site_label
_atom_site_fract_x
_atom_site_fract_y
_atom_site_fract_z
K1 0.0000 0.0000 0.0000
K2 0.3333 0.6667 0.7062
K3 0.6667 0.3333 0.2938
V1 0.0000 0.0000 0.5000
As1 0.3333 0.6667 0.2616
As2 0.6667 0.3333 0.7384
O1 0.1683 0.3365 0.3396
O2 0.1683 0.8317 0.3396
O3 0.3333 0.6667 0.0428
O4 0.3365 0.1683 0.6604
O5 0.6635 0.8317 0.3396
O6 0.6667 0.3333 0.9572
O7 0.8317 0.1683 0.6604
O8 0.8317 0.6635 0.6604